# NbSeF2

An optimized crystal structure of NbSeF2 (PBE, Alexandria via LeMat-Bulk).

The energy relative to the elements, uncorrected is -129.38 kJ/mol of atoms.

The space group is I-42d (No. 122) and the conventional cell measures 3.9996, 3.9996 and 14.9574 Å, with angles of 90.00, 90.00 and 90.00 degrees. The inequivalent atoms are Nb at (0.0000, 0.0000, 0.0000), Se at (0.0000, 0.0000, 0.5000) and F at (0.1188, 0.2500, 0.1250).

---

# Zr2Pa3Fe2

An optimized crystal structure of Zr2Pa3Fe2 (PBE, Alexandria via LeMat-Bulk).

For the formation energy, the calculation gives -3.88 kcal/mol of atoms.

The space group is C2/m (No. 12) and the conventional cell measures 10.6718, 3.4382 and 8.2540 Å, with angles of 90.00, 108.49 and 90.00 degrees. The inequivalent atoms are Zr at (0.1674, 0.0000, 0.3086), Pa at (0.0000, 0.5000, 0.5000), Pa at (0.1100, 0.5000, 0.9348) and Fe at (0.1255, 0.0000, 0.7054).

---

# EuInH

An optimized crystal structure of EuInH (PBE, Alexandria via LeMat-Bulk).

The space group is I4mm (No. 107) and the conventional cell measures 3.3215, 3.3215 and 12.1792 Å, with angles of 90.00, 90.00 and 90.00 degrees. The inequivalent atoms are Eu at (0.0000, 0.0000, 0.0000), In at (0.0000, 0.0000, 0.2751) and H at (0.0000, 0.0000, 0.5261).

---

For each record above, in turn, the calculated electronic total energy values are -22.66; -63.69; -16.93 eV/f.u..